This record from OQMD via LeMat-Bulk describes crystalline SmNbAg at its relaxed geometry. The functional is PBE-GGA.

Formation enthalpy at 0 K   1.182 eV/atom
Excess energy over the best structure of this formula in the dataset   221 meV/atom

a = 4.856 Å, b = 4.856 Å, c = 4.856 Å
α = 60.00°, β = 60.00°, γ = 60.00°
Sites, in units of the cell vectors:
Sm1 0.000 0.000 0.000
Ag1 0.250 0.250 0.250
Nb1 0.750 0.750 0.750

=====

This record from OQMD via LeMat-Bulk describes crystalline SmNbAg at its relaxed geometry. The functional is PBE-GGA.

Formation enthalpy at 0 K   0.961 eV/atom
Excess energy over the best structure of this formula in the dataset   0 meV/atom

a = 4.744 Å, b = 4.744 Å, c = 4.744 Å
α = 60.00°, β = 60.00°, γ = 60.00°
Each line ends with the local moment (μB).
Sites, in units of the cell vectors:
Sm1 0.000 0.000 0.000  0.18
Ag1 0.500 0.500 0.500  0.03
Nb1 0.250 0.250 0.250  0.98

=====

This record from OQMD via LeMat-Bulk describes crystalline NbAgSn2 at its relaxed geometry. The functional is PBE-GGA.

Final energy   -4.753 eV per atom

a = 4.970 Å, b = 4.970 Å, c = 4.970 Å
α = 60.00°, β = 60.00°, γ = 60.00°
Each line ends with the local moment (μB).
Sites, in units of the cell vectors:
Sn1 0.000 0.000 0.000  -0.01
Sn2 0.250 0.250 0.250  -0.02
Ag1 0.500 0.500 0.500  0.02
Nb1 0.750 0.750 0.750  1.08

=====

This record from OQMD via LeMat-Bulk describes crystalline NbAgSn at its relaxed geometry. The functional is PBE-GGA.

Final energy   -5.120 eV per atom

a = 4.605 Å, b = 4.605 Å, c = 4.605 Å
α = 60.00°, β = 60.00°, γ = 60.00°
Sites, in units of the cell vectors:
Ag1 0.250 0.250 0.250
Sn1 0.000 0.000 0.000
Nb1 0.750 0.750 0.750

=====

This record from OQMD via LeMat-Bulk describes crystalline SrNbAg at its relaxed geometry. The functional is PBE-GGA.

Excess energy over the best structure of this formula in the dataset   0 meV/atom

a = 5.051 Å, b = 5.051 Å, c = 5.051 Å
α = 60.00°, β = 60.00°, γ = 60.00°
Each line ends with the local moment (μB).
Sites, in units of the cell vectors:
Ag1 0.250 0.250 0.250  0.09
Nb1 0.000 0.000 0.000  2.75
Sr1 0.750 0.750 0.750  0.20

=====

This record from OQMD via LeMat-Bulk describes crystalline SrNbAg at its relaxed geometry. The functional is PBE-GGA.

Excess energy over the best structure of this formula in the dataset   243 meV/atom

a = 5.143 Å, b = 5.143 Å, c = 5.143 Å
α = 60.00°, β = 60.00°, γ = 60.00°
Sites, in units of the cell vectors:
Sr1 0.000 0.000 0.000
Ag1 0.250 0.250 0.250
Nb1 0.750 0.750 0.750

=====

This record from OQMD via LeMat-Bulk describes crystalline TaNb2Ag at its relaxed geometry. The functional is PBE-GGA.

Formation enthalpy at 0 K   0.291 eV/atom

a = 4.669 Å, b = 4.669 Å, c = 4.669 Å
α = 60.00°, β = 60.00°, γ = 60.00°
Sites, in units of the cell vectors:
Nb1 0.250 0.250 0.250
Nb2 0.500 0.500 0.500
Ag1 0.750 0.750 0.750
Ta1 0.000 0.000 0.000

=====

This record from OQMD via LeMat-Bulk describes crystalline Ta2NbAg at its relaxed geometry. The functional is PBE-GGA.

Formation enthalpy at 0 K   0.309 eV/atom

a = 4.669 Å, b = 4.669 Å, c = 4.669 Å
α = 60.00°, β = 60.00°, γ = 60.00°
Sites, in units of the cell vectors:
Ag1 0.500 0.500 0.500
Ta1 0.250 0.250 0.250
Ta2 0.000 0.000 0.000
Nb1 0.750 0.750 0.750